SrSbIN2: optimized geometry, PBE-GGA.

Its total energy is -3.2680 eV per atom. Its density of states at the Fermi level is 1.252 states/eV/atom. The energy above the most stable polymorph in this dataset comes out at 0.950 eV/atom. The calculation puts the magnetization at 0.44 Bohr magnetons per cell.

Unit cell a=4.6789 b=4.6789 c=6.2818 alpha=90.00 beta=90.00 gamma=90.00
With the nearest neighbours (Å) after each atom.
Fractional coordinates of all 5 atoms:
Sr  0.0000  0.0000  0.0000  4 N 2.34
Sb  0.5000  0.5000  0.5000  4 I 3.31
I  0.0000  0.0000  0.5000  2 Sr 3.14, 4 Sb 3.31
N  0.0000  0.5000  0.0000  2 Sr 2.34
N  0.5000  0.0000  0.0000  2 Sr 2.34



SrSbIN2: optimized geometry, PBE-GGA.

Its total energy is -4.2176 eV per atom. Its density of states at the Fermi level is 0.351 states/eV/atom. The energy above the most stable polymorph in this dataset comes out at 0.000 eV/atom. The calculation puts the magnetization at 0.00 Bohr magnetons per cell.

Unit cell a=4.3692 b=4.3692 c=6.0285 alpha=90.00 beta=90.00 gamma=90.00
With the nearest neighbours (Å) after each atom.
Fractional coordinates of all 5 atoms:
Sr  0.0000  0.0000  0.0000  4 I 3.09
Sb  0.5000  0.5000  0.5000  4 N 2.18
I  0.5000  0.5000  0.0000  2 Sb 3.01, 4 Sr 3.09
N  0.0000  0.5000  0.5000  2 Sb 2.18
N  0.5000  0.0000  0.5000  2 Sb 2.18



SrSbI2N: optimized geometry, PBE-GGA.

Its total energy is -3.2766 eV per atom. Its density of states at the Fermi level is 0.752 states/eV/atom. The energy above the most stable polymorph in this dataset comes out at 0.256 eV/atom. The calculation puts the magnetization at 0.44 Bohr magnetons per cell.

Unit cell a=5.1514 b=5.1514 c=5.0217 alpha=90.00 beta=90.00 gamma=90.00
With the nearest neighbours (Å) after each atom.
Fractional coordinates of all 5 atoms:
Sr  0.0000  0.0000  0.0000  8 I 3.60, 4 Sb 3.64
Sb  0.5000  0.5000  0.0000  2 N 2.51
I  0.0000  0.5000  0.5000  2 N 2.58
I  0.5000  0.0000  0.5000  2 N 2.58
N  0.5000  0.5000  0.5000  2 Sb 2.51, 4 I 2.58



TaSbI2N: optimized geometry, PBE-GGA.

Its total energy is -5.1650 eV per atom. Its density of states at the Fermi level is 0.700 states/eV/atom. The energy above the most stable polymorph in this dataset comes out at 0.000 eV/atom. The calculation puts the magnetization at 0.00 Bohr magnetons per cell.

Unit cell a=5.7635 b=5.7635 c=3.9148 alpha=90.00 beta=90.00 gamma=90.00
With the nearest neighbours (Å) after each atom.
Fractional coordinates of all 5 atoms:
Ta  0.0000  0.0000  0.0000  2 N 1.96
Sb  0.5000  0.5000  0.5000  8 I 3.48
I  0.0000  0.5000  0.0000  2 Ta 2.88
I  0.5000  0.0000  0.0000  2 Ta 2.88
N  0.0000  0.0000  0.5000  2 Ta 1.96



TaSbIN2: optimized geometry, PBE-GGA.

Its total energy is -6.1468 eV per atom. Its density of states at the Fermi level is 0.637 states/eV/atom. The energy above the most stable polymorph in this dataset comes out at 0.000 eV/atom. The calculation puts the magnetization at 0.19 Bohr magnetons per cell.

Unit cell a=4.1809 b=4.1809 c=5.7209 alpha=90.00 beta=90.00 gamma=90.00
With the nearest neighbours (Å) after each atom.
Fractional coordinates of all 5 atoms:
Ta  0.0000  0.0000  0.0000  4 N 2.09
Sb  0.5000  0.5000  0.5000  4 I 2.96
I  0.0000  0.0000  0.5000  2 Ta 2.86, 4 Sb 2.96
N  0.0000  0.5000  0.0000  2 Ta 2.09
N  0.5000  0.0000  0.0000  2 Ta 2.09



TaSbIN2: optimized geometry, PBE-GGA.

Its total energy is -4.8857 eV per atom. Its density of states at the Fermi level is 0.876 states/eV/atom. The energy above the most stable polymorph in this dataset comes out at 1.261 eV/atom. The calculation puts the magnetization at 2.17 Bohr magnetons per cell.

Unit cell a=4.1185 b=4.1185 c=6.1592 alpha=90.00 beta=90.00 gamma=90.00
With the nearest neighbours (Å) after each atom.
Fractional coordinates of all 5 atoms:
Ta  0.0000  0.0000  0.0000  4 I 2.91
Sb  0.5000  0.5000  0.5000  4 N 2.06
I  0.5000  0.5000  0.0000  4 Ta 2.91, 2 Sb 3.08
N  0.0000  0.5000  0.5000  2 Sb 2.06
N  0.5000  0.0000  0.5000  2 Sb 2.06



TaSbI2N: optimized geometry, PBE-GGA.

Its total energy is -4.0097 eV per atom. Its density of states at the Fermi level is 0.735 states/eV/atom. The energy above the most stable polymorph in this dataset comes out at 1.155 eV/atom. The calculation puts the magnetization at 2.89 Bohr magnetons per cell.

Unit cell a=6.1175 b=6.1175 c=3.8894 alpha=90.00 beta=90.00 gamma=90.00
With the nearest neighbours (Å) after each atom.
Fractional coordinates of all 5 atoms:
Ta  0.0000  0.0000  0.0000  8 I 3.62, 2 Ta 3.89
Sb  0.5000  0.5000  0.5000  2 N 1.94
I  0.0000  0.5000  0.5000  2 Sb 3.06
I  0.5000  0.0000  0.5000  2 Sb 3.06
N  0.5000  0.5000  0.0000  2 Sb 1.94



TaSb2IN: optimized geometry, PBE-GGA.

Its total energy is -4.8978 eV per atom. Its density of states at the Fermi level is 0.681 states/eV/atom. The energy above the most stable polymorph in this dataset comes out at 0.000 eV/atom. The calculation puts the magnetization at 1.07 Bohr magnetons per cell.

Unit cell a=4.7204 b=4.7204 c=4.6479 alpha=90.00 beta=90.00 gamma=90.00
With the nearest neighbours (Å) after each atom.
Fractional coordinates of all 5 atoms:
Ta  0.0000  0.0000  0.0000  8 Sb 3.31, 4 I 3.34
Sb  0.0000  0.5000  0.5000  2 N 2.36
Sb  0.5000  0.0000  0.5000  2 N 2.36
I  0.5000  0.5000  0.0000  2 N 2.32
N  0.5000  0.5000  0.5000  2 I 2.32, 4 Sb 2.36



TaSb2IN: optimized geometry, PBE-GGA.

Its total energy is -4.6752 eV per atom. Its density of states at the Fermi level is 0.514 states/eV/atom. The energy above the most stable polymorph in this dataset comes out at 0.223 eV/atom. The calculation puts the magnetization at 2.97 Bohr magnetons per cell.

Unit cell a=5.3476 b=5.3476 c=5.7473 alpha=90.00 beta=90.00 gamma=90.00
With the nearest neighbours (Å) after each atom.
Fractional coordinates of all 5 atoms:
Ta  0.0000  0.0000  0.0000  4 Sb 2.67, 2 I 2.87
Sb  0.0000  0.5000  0.0000  2 Ta 2.67
Sb  0.5000  0.0000  0.0000  2 Ta 2.67
I  0.0000  0.0000  0.5000  2 Ta 2.87
N  0.5000  0.5000  0.5000  4 I 3.78, 8 Sb 3.93



TaSbI2N: optimized geometry, PBE-GGA.

Its total energy is -4.0822 eV per atom. Its density of states at the Fermi level is 0.751 states/eV/atom. The energy above the most stable polymorph in this dataset comes out at 1.083 eV/atom. The calculation puts the magnetization at 1.78 Bohr magnetons per cell.

Unit cell a=4.7969 b=4.7969 c=4.8191 alpha=90.00 beta=90.00 gamma=90.00
With the nearest neighbours (Å) after each atom.
Fractional coordinates of all 5 atoms:
Ta  0.0000  0.0000  0.0000  4 Sb 3.39, 8 I 3.40
Sb  0.5000  0.5000  0.0000  2 N 2.41
I  0.0000  0.5000  0.5000  2 N 2.40
I  0.5000  0.0000  0.5000  2 N 2.40
N  0.5000  0.5000  0.5000  4 I 2.40, 2 Sb 2.41



TaSbI2N: optimized geometry, PBE-GGA.

Its total energy is -3.8757 eV per atom. Its density of states at the Fermi level is 2.790 states/eV/atom. The energy above the most stable polymorph in this dataset comes out at 1.289 eV/atom. The calculation puts the magnetization at 0.00 Bohr magnetons per cell.

Unit cell a=5.3699 b=5.3699 c=5.5172 alpha=90.00 beta=90.00 gamma=90.00
With the nearest neighbours (Å) after each atom.
Fractional coordinates of all 5 atoms:
Ta  0.0000  0.0000  0.0000  4 I 2.68, 2 Sb 2.76
Sb  0.0000  0.0000  0.5000  2 Ta 2.76
I  0.0000  0.5000  0.0000  2 Ta 2.68
I  0.5000  0.0000  0.0000  2 Ta 2.68
N  0.5000  0.5000  0.5000  4 Sb 3.80, 8 I 3.85



TcSb2IN: optimized geometry, PBE-GGA.

Its total energy is -4.3171 eV per atom. Its density of states at the Fermi level is 0.839 states/eV/atom. The energy above the most stable polymorph in this dataset comes out at 0.177 eV/atom. The calculation puts the magnetization at 2.19 Bohr magnetons per cell.

Unit cell a=5.0774 b=5.0774 c=5.9036 alpha=90.00 beta=90.00 gamma=90.00
With the nearest neighbours (Å) after each atom.
Fractional coordinates of all 5 atoms:
Tc  0.0000  0.0000  0.0000  4 Sb 2.54
Sb  0.0000  0.5000  0.0000  2 Tc 2.54
Sb  0.5000  0.0000  0.0000  2 Tc 2.54
I  0.0000  0.0000  0.5000  2 Tc 2.95
N  0.5000  0.5000  0.5000  4 I 3.59, 8 Sb 3.89



TcSb2IN: optimized geometry, PBE-GGA.

Its total energy is -4.4937 eV per atom. Its density of states at the Fermi level is 0.750 states/eV/atom. The energy above the most stable polymorph in this dataset comes out at 0.000 eV/atom. The calculation puts the magnetization at 2.18 Bohr magnetons per cell.

Unit cell a=4.7451 b=4.7451 c=4.6366 alpha=90.00 beta=90.00 gamma=90.00
With the nearest neighbours (Å) after each atom.
Fractional coordinates of all 5 atoms:
Tc  0.0000  0.0000  0.0000  8 Sb 3.32, 4 I 3.36
Sb  0.0000  0.5000  0.5000  2 N 2.37
Sb  0.5000  0.0000  0.5000  2 N 2.37
I  0.5000  0.5000  0.0000  2 N 2.32
N  0.5000  0.5000  0.5000  2 I 2.32, 4 Sb 2.37



SbTeIN2: optimized geometry, PBE-GGA.

Its total energy is -3.3261 eV per atom. Its density of states at the Fermi level is 0.883 states/eV/atom. The energy above the most stable polymorph in this dataset comes out at 0.474 eV/atom. The calculation puts the magnetization at 1.18 Bohr magnetons per cell.

Unit cell a=4.1776 b=4.1776 c=8.0379 alpha=90.00 beta=90.00 gamma=90.00
With the nearest neighbours (Å) after each atom.
Fractional coordinates of all 5 atoms:
Sb  0.0000  0.0000  0.0000  4 Te 2.95
Te  0.5000  0.5000  0.0000  4 Sb 2.95
I  0.5000  0.5000  0.5000  4 N 2.09
N  0.0000  0.5000  0.5000  2 I 2.09
N  0.5000  0.0000  0.5000  2 I 2.09